*w*
GGA-PBE LiAuCl, optimized geometry; symmetry = P3m1 (156)
1.0
-1.454 2.369 1.653
-1.677 -2.621 -0.883
1.514 -2.740 5.259
Au Cl Li
1 1 1
direct
0.000 0.000 0.986
0.667 0.333 0.403
0.333 0.667 0.611

---

*x*
GGA-PBE LiAuCl, optimized geometry; symmetry = F-43m (216)
1.0
4.418 0.000 0.000
2.209 3.826 0.000
2.209 1.275 3.607
Au Cl Li
1 1 1
direct
0.000 0.000 0.000
0.500 0.500 0.500
0.250 0.250 0.250

---

Looking at the structures above, *w* is most stable, and the difference to the next one is 254 meV per atom.